LiMnSnF6 | PBE+U | relaxed

Unit cell a=5.255 b=5.256 c=5.178 alpha=90.02 beta=89.98 gamma=59.92
Last column: magnetic moment on the atom in μB.
Element x y z (fractional)
1 Sn 0.999 0.999 0.000  0.00
2 F 0.979 0.373 0.292  -0.01
3 F 0.982 0.645 0.712  0.00
4 F 0.373 0.980 0.707  -0.01
5 F 0.645 0.983 0.288  0.00
6 F 0.647 0.371 0.710  -0.01
7 F 0.371 0.647 0.290  -0.01
8 Mn 0.667 0.667 0.500  1.97
9 Li 0.335 0.335 0.500  0.00

Computed properties:
Total magnetization in Bohr magnetons per cell: 2.000
Space-group type: No. 5
Energy in eV per atom: -5.115